(1)
The following is a DFT calculation (PBE) of a relaxed YTa2Si crystal.

- Electronic total energy: -8.764 eV per atom

Lattice parameters (Å, degrees): 6.738 6.738 6.738 90.00 90.00 90.00
Space group F-43m (No. 216)
Unique sites:
Y 0.000 0.000 0.000
Ta 0.000 0.000 0.500
Ta 0.250 0.250 0.250
Si 0.250 0.250 0.750

---

(2)
The following is a DFT calculation (PBE) of a relaxed YTaSi2 crystal.

- Electronic total energy: -6.897 eV per atom

Lattice parameters (Å, degrees): 6.616 6.616 6.616 90.00 90.00 90.00
Space group F-43m (No. 216)
Unique sites:
Y 0.000 0.000 0.000
Ta 0.250 0.250 0.750
Si 0.000 0.000 0.500
Si 0.250 0.250 0.250